Record 1
Ac3Al2HgO9 | GGA-PBE | optimized geometry

Structure (CIF):
```
data_Ac3Al2HgO9
_chemical_formula_sum 'Ac3 Al2 Hg1 O9'
_space_group_name_H-M_alt 'P 1'
_space_group_IT_number 1
_space_group_name_Hall 'P 1'
_cell_length_a 5.641
_cell_length_b 5.641
_cell_length_c 7.101
_cell_angle_alpha 90.00
_cell_angle_beta 90.00
_cell_angle_gamma 120.00
loop_
_atom_site_label
_atom_site_type_symbol
_atom_site_fract_x
_atom_site_fract_y
_atom_site_fract_z
O1 O 0.500 0.000 0.000
O2 O 0.357 0.178 0.690
O3 O 0.178 0.357 0.310
O4 O 0.643 0.822 0.310
O5 O 0.822 0.643 0.690
O6 O 0.000 0.500 0.000
O7 O 0.822 0.178 0.690
O8 O 0.500 0.500 0.000
O9 O 0.178 0.822 0.310
Al1 Al 0.333 0.667 0.150
Al2 Al 0.667 0.333 0.850
Ac1 Ac 0.667 0.333 0.326
Ac2 Ac 0.000 0.000 0.000
Ac3 Ac 0.333 0.667 0.674
Hg1 Hg 0.000 0.000 0.500
```

Computed properties:
**Symmetry**: P-3m1, No. 164
**Total magnetic moment**: 0.034 μB per atom
**ΔE_f (raw)**: -39.17 eV per formula unit
**DOS(E_F)**: 0.3801 states/eV/atom

=====

Record 2
Ac3Al2HgPd9 | GGA-PBE | optimized geometry

Structure (CIF):
```
data_Ac3Al2HgPd9
_chemical_formula_sum 'Ac3 Al2 Hg1 Pd9'
_space_group_name_H-M_alt 'P 1'
_space_group_IT_number 1
_space_group_name_Hall 'P 1'
_cell_length_a 6.869
_cell_length_b 6.869
_cell_length_c 8.569
_cell_angle_alpha 90.00
_cell_angle_beta 90.00
_cell_angle_gamma 120.00
loop_
_atom_site_label
_atom_site_type_symbol
_atom_site_fract_x
_atom_site_fract_y
_atom_site_fract_z
Ac1 Ac 0.000 0.000 0.000
Ac2 Ac 0.333 0.667 0.696
Ac3 Ac 0.667 0.333 0.304
Pd1 Pd 0.200 0.401 0.379
Pd2 Pd 0.200 0.800 0.379
Pd3 Pd 0.000 0.500 0.000
Pd4 Pd 0.401 0.200 0.621
Pd5 Pd 0.500 0.500 0.000
Pd6 Pd 0.800 0.200 0.621
Pd7 Pd 0.800 0.599 0.621
Pd8 Pd 0.500 0.000 0.000
Pd9 Pd 0.599 0.800 0.379
Al1 Al 0.333 0.667 0.163
Al2 Al 0.667 0.333 0.837
Hg1 Hg 0.000 0.000 0.500
```

Computed properties:
**Symmetry**: P-3m1, No. 164
**Total magnetic moment**: 0.000 μB per atom
**DOS(E_F)**: 0.4126 states/eV/atom
**Formation energy**: -7.8 eV per formula unit

=====

Record 3
Ac2Al3HgPd4 | GGA-PBE | optimized geometry

Structure (CIF):
```
data_Ac2Al3HgPd4
_chemical_formula_sum 'Ac2 Al3 Hg1 Pd4'
_space_group_name_H-M_alt 'P 1'
_space_group_IT_number 1
_space_group_name_Hall 'P 1'
_cell_length_a 4.545
_cell_length_b 4.545
_cell_length_c 10.509
_cell_angle_alpha 90.00
_cell_angle_beta 90.00
_cell_angle_gamma 90.00
loop_
_atom_site_label
_atom_site_type_symbol
_atom_site_fract_x
_atom_site_fract_y
_atom_site_fract_z
Pd1 Pd 0.000 0.000 0.000
Pd2 Pd 0.500 0.500 0.000
Pd3 Pd 0.000 0.500 0.349
Pd4 Pd 0.500 0.000 0.651
Al1 Al 0.500 0.000 0.892
Al2 Al 0.000 0.500 0.108
Al3 Al 0.000 0.000 0.500
Ac1 Ac 0.000 0.500 0.756
Ac2 Ac 0.500 0.000 0.244
Hg1 Hg 0.500 0.500 0.500
```

Computed properties:
**Symmetry**: P-4m2, No. 115
**Total magnetic moment**: 0.000 μB per atom
**DOS(E_F)**: 0.5976 states/eV/atom
**Formation energy**: -7.5 eV per formula unit

=====

Record 4
Ac3AlHg2Pd6 | GGA-PBE | optimized geometry

Structure (CIF):
```
data_Ac3AlHg2Pd6
_chemical_formula_sum 'Ac3 Al1 Hg2 Pd6'
_space_group_name_H-M_alt 'P 1'
_space_group_IT_number 1
_space_group_name_Hall 'P 1'
_cell_length_a 5.928
_cell_length_b 5.928
_cell_length_c 9.062
_cell_angle_alpha 90.00
_cell_angle_beta 90.00
_cell_angle_gamma 120.00
loop_
_atom_site_label
_atom_site_type_symbol
_atom_site_fract_x
_atom_site_fract_y
_atom_site_fract_z
Pd1 Pd 0.344 0.172 0.704
Pd2 Pd 0.656 0.828 0.296
Pd3 Pd 0.172 0.828 0.296
Pd4 Pd 0.172 0.344 0.296
Pd5 Pd 0.828 0.172 0.704
Pd6 Pd 0.828 0.656 0.704
Al1 Al 0.000 0.000 0.500
Hg1 Hg 0.667 0.333 0.981
Hg2 Hg 0.333 0.667 0.019
Ac1 Ac 0.333 0.667 0.627
Ac2 Ac 0.667 0.333 0.373
Ac3 Ac 0.000 0.000 0.000
```

Computed properties:
**Symmetry**: P-3m1, No. 164
**Total magnetic moment**: 0.000 μB per atom
**DOS(E_F)**: 0.4050 states/eV/atom
**Formation energy**: -8.8 eV per formula unit

=====

Record 5
Ac2Al4HgPd3 | GGA-PBE | optimized geometry

Structure (CIF):
```
data_Ac2Al4HgPd3
_chemical_formula_sum 'Ac2 Al4 Hg1 Pd3'
_space_group_name_H-M_alt 'P 1'
_space_group_IT_number 1
_space_group_name_Hall 'P 1'
_cell_length_a 4.492
_cell_length_b 4.492
_cell_length_c 10.730
_cell_angle_alpha 90.00
_cell_angle_beta 90.00
_cell_angle_gamma 90.00
loop_
_atom_site_label
_atom_site_type_symbol
_atom_site_fract_x
_atom_site_fract_y
_atom_site_fract_z
Pd1 Pd 0.000 0.500 0.124
Pd2 Pd 0.000 0.000 0.500
Pd3 Pd 0.500 0.000 0.876
Ac1 Ac 0.000 0.500 0.755
Ac2 Ac 0.500 0.000 0.245
Al1 Al 0.000 0.000 0.000
Al2 Al 0.500 0.500 0.000
Al3 Al 0.000 0.500 0.365
Al4 Al 0.500 0.000 0.635
Hg1 Hg 0.500 0.500 0.500
```

Computed properties:
**Symmetry**: P-4m2, No. 115
**Total magnetic moment**: 0.000 μB per atom
**DOS(E_F)**: 0.9032 states/eV/atom
**Formation energy**: -7.0 eV per formula unit

=====

Record 6
Ac2AlHg2Pd4 | GGA-PBE | optimized geometry

Structure (CIF):
```
data_Ac2AlHg2Pd4
_chemical_formula_sum 'Ac2 Al1 Hg2 Pd4'
_space_group_name_H-M_alt 'P 1'
_space_group_IT_number 1
_space_group_name_Hall 'P 1'
_cell_length_a 6.563
_cell_length_b 6.563
_cell_length_c 6.563
_cell_angle_alpha 94.13
_cell_angle_beta 117.65
_cell_angle_gamma 117.65
loop_
_atom_site_label
_atom_site_type_symbol
_atom_site_fract_x
_atom_site_fract_y
_atom_site_fract_z
Hg1 Hg 0.000 0.309 0.309
Hg2 Hg 0.000 0.691 0.691
Al1 Al 0.000 0.000 0.000
Ac1 Ac 0.500 0.750 0.250
Ac2 Ac 0.500 0.250 0.750
Pd1 Pd 0.000 0.741 0.259
Pd2 Pd 0.519 0.259 0.259
Pd3 Pd 0.481 0.741 0.741
Pd4 Pd 0.000 0.259 0.741
```

Computed properties:
**Symmetry**: I4/mmm, No. 139
**Total magnetic moment**: 0.000 μB per atom
**DOS(E_F)**: 0.5617 states/eV/atom
**Formation energy**: -5.5 eV per formula unit

=====

Record 7
Ac2AlHgPd6 | GGA-PBE | optimized geometry

Structure (CIF):
```
data_Ac2AlHgPd6
_chemical_formula_sum 'Ac2 Al1 Hg1 Pd6'
_space_group_name_H-M_alt 'P 1'
_space_group_IT_number 1
_space_group_name_Hall 'P 1'
_cell_length_a 7.049
_cell_length_b 6.709
_cell_length_c 8.817
_cell_angle_alpha 51.86
_cell_angle_beta 48.47
_cell_angle_gamma 81.14
loop_
_atom_site_label
_atom_site_type_symbol
_atom_site_fract_x
_atom_site_fract_y
_atom_site_fract_z
Pd1 Pd 0.745 0.754 0.019
Pd2 Pd 0.245 0.255 0.518
Pd3 Pd 0.755 0.745 0.482
Pd4 Pd 0.247 0.753 0.836
Pd5 Pd 0.753 0.247 0.164
Pd6 Pd 0.255 0.246 0.981
Ac1 Ac 0.246 0.753 0.468
Ac2 Ac 0.754 0.247 0.532
Hg1 Hg 0.500 0.500 0.000
Al1 Al 0.000 0.000 0.000
```

Computed properties:
**Symmetry**: C2/m, No. 12
**Total magnetic moment**: 0.000 μB per atom
**DOS(E_F)**: 0.3222 states/eV/atom
**Formation energy**: -6.9 eV per formula unit

=====

Record 8
AcPmAlHg | GGA-PBE | optimized geometry

Structure (CIF):
```
data_AcPmAlHg
_chemical_formula_sum 'Ac1 Pm1 Al1 Hg1'
_space_group_name_H-M_alt 'P 1'
_space_group_IT_number 1
_space_group_name_Hall 'P 1'
_cell_length_a 5.524
_cell_length_b 5.524
_cell_length_c 5.524
_cell_angle_alpha 60.00
_cell_angle_beta 60.00
_cell_angle_gamma 60.00
loop_
_atom_site_label
_atom_site_type_symbol
_atom_site_fract_x
_atom_site_fract_y
_atom_site_fract_z
Ac1 Ac 0.500 0.500 0.500
Pm1 Pm 0.000 0.000 0.000
Al1 Al 0.250 0.250 0.250
Hg1 Hg 0.750 0.750 0.750
```

Computed properties:
**Symmetry**: F-43m, No. 216
**Total magnetic moment**: 0.000 μB per atom
**DOS(E_F)**: 1.4795 states/eV/atom
**Formation energy**: -1.3 eV per formula unit

=====

Record 9
AcPmAl2Hg5 | GGA-PBE | optimized geometry

Structure (CIF):
```
data_AcPmAl2Hg5
_chemical_formula_sum 'Ac1 Pm1 Al2 Hg5'
_space_group_name_H-M_alt 'P 1'
_space_group_IT_number 1
_space_group_name_Hall 'P 1'
_cell_length_a 5.233
_cell_length_b 5.233
_cell_length_c 8.543
_cell_angle_alpha 90.00
_cell_angle_beta 90.00
_cell_angle_gamma 90.00
loop_
_atom_site_label
_atom_site_type_symbol
_atom_site_fract_x
_atom_site_fract_y
_atom_site_fract_z
Al1 Al 0.500 0.500 0.154
Al2 Al 0.500 0.500 0.846
Hg1 Hg 0.500 0.000 0.764
Hg2 Hg 0.500 0.000 0.236
Hg3 Hg 0.500 0.500 0.500
Hg4 Hg 0.000 0.500 0.236
Hg5 Hg 0.000 0.500 0.764
Ac1 Ac 0.000 0.000 0.500
Pm1 Pm 0.000 0.000 0.000
```

Computed properties:
**Symmetry**: P4/mmm, No. 123
**Total magnetic moment**: 0.000 μB per atom
**DOS(E_F)**: 0.5890 states/eV/atom
**Formation energy**: -1.9 eV per formula unit

=====

Record 10
AcAlHgPt3 | GGA-PBE | optimized geometry

Structure (CIF):
```
data_AcAlHgPt3
_chemical_formula_sum 'Ac2 Al2 Hg2 Pt6'
_space_group_name_H-M_alt 'P 1'
_space_group_IT_number 1
_space_group_name_Hall 'P 1'
_cell_length_a 5.958
_cell_length_b 7.423
_cell_length_c 7.268
_cell_angle_alpha 120.71
_cell_angle_beta 90.00
_cell_angle_gamma 90.00
loop_
_atom_site_label
_atom_site_type_symbol
_atom_site_fract_x
_atom_site_fract_y
_atom_site_fract_z
Pt1 Pt 0.000 0.306 0.000
Pt2 Pt 0.250 0.201 0.402
Pt3 Pt 0.500 0.306 0.000
Pt4 Pt 0.000 0.694 0.000
Pt5 Pt 0.750 0.799 0.598
Pt6 Pt 0.500 0.694 0.000
Ac1 Ac 0.750 0.294 0.588
Ac2 Ac 0.250 0.706 0.412
Al1 Al 0.250 0.391 0.783
Al2 Al 0.750 0.609 0.217
Hg1 Hg 0.250 0.969 0.938
Hg2 Hg 0.750 0.031 0.062
```

Computed properties:
**Symmetry**: Cmcm, No. 63
**Total magnetic moment**: 0.000 μB per atom
**DOS(E_F)**: 0.5081 states/eV/atom
**Formation energy**: -3.7 eV per formula unit

=====

Record 11
Ac2Al4HgPt3 | GGA-PBE | optimized geometry

Structure (CIF):
```
data_Ac2Al4HgPt3
_chemical_formula_sum 'Ac2 Al4 Hg1 Pt3'
_space_group_name_H-M_alt 'P 1'
_space_group_IT_number 1
_space_group_name_Hall 'P 1'
_cell_length_a 4.498
_cell_length_b 4.498
_cell_length_c 10.576
_cell_angle_alpha 90.00
_cell_angle_beta 90.00
_cell_angle_gamma 90.00
loop_
_atom_site_label
_atom_site_type_symbol
_atom_site_fract_x
_atom_site_fract_y
_atom_site_fract_z
Ac1 Ac 0.000 0.500 0.755
Ac2 Ac 0.500 0.000 0.245
Pt1 Pt 0.000 0.000 0.500
Pt2 Pt 0.000 0.500 0.125
Pt3 Pt 0.500 0.000 0.875
Al1 Al 0.500 0.000 0.635
Al2 Al 0.000 0.000 0.000
Al3 Al 0.500 0.500 0.000
Al4 Al 0.000 0.500 0.365
Hg1 Hg 0.500 0.500 0.500
```

Computed properties:
**Symmetry**: P-4m2, No. 115
**Total magnetic moment**: 0.000 μB per atom
**DOS(E_F)**: 0.7921 states/eV/atom
**Formation energy**: -9.0 eV per formula unit